# 1
The following is a DFT calculation (PBE+U) of a relaxed V2GaAsF crystal.

a b c (Å): 5.192 5.192 4.608
angles (deg): 90.00 90.00 90.00
Each line ends with the local moment (μB).
Element x y z (fractional)
As  0.000  0.000  0.500  -0.05
F  0.500  0.500  0.500  -0.03
Ga  0.000  0.000  0.000  0.01
V  0.000  0.500  0.000  2.94
V  0.500  0.000  0.000  2.94

Output
- VASP energy (eV per atom) = -4.173



# 2
The following is a DFT calculation (PBE+U) of a relaxed Ga2AsWF crystal.

a b c (Å): 5.308 5.129 5.308
angles (deg): 90.00 90.00 90.00
Each line ends with the local moment (μB).
Element x y z (fractional)
As  0.000  0.000  0.000  -0.14
Ga  0.000  0.000  0.500  -0.01
Ga  0.500  0.000  0.000  -0.03
W  0.000  0.500  0.000  3.59
F  0.500  0.500  0.500  0.06

Output
- VASP energy (eV per atom) = -3.441